DFT (PBE) results for LaTcIr2 after structural relaxation.

Values from the calculation:
DFT total energy ... -7.8257 eV/atom
Energy of formation from the pure elements ... 0.43 eV per atom
Volume ... 210.0 Å³ per cell
Density of states at the Fermi level ... 18.6 states/eV/cell

Cell lengths 2.8600, 2.8600, 29.6417 Å; angles 90.00, 90.00, 120.00 degrees
Space group R3m (No. 160, hexagonal axes)
Unique sites:
La1 0.0000 0.0000 0.0000 (multiplicity 3)
Tc1 0.0000 0.0000 0.2363 (multiplicity 3)
Ir1 0.0000 0.0000 0.5005 (multiplicity 3)
Ir2 0.0000 0.0000 0.7577 (multiplicity 3)